[1]
CdP2Pt | PBE | optimized geometry

## Properties
energy relative to the elements = -0.1282 eV per atom
final energy = -4.5722 eV per atom
volume = 18.601 A^3/atom
space-group type = R-3m (166)

Cell: 6.6905 6.6905 6.6905 Å, 31.93 31.93 31.93°
Last column: nearest neighbours and their distance in Å.
Atoms (fractional coordinates):
Cd 0.7500 0.7500 0.7500  6 P 2.89
P 0.9807 0.9807 0.9807  3 Pt 2.45
P 0.5193 0.5193 0.5193  3 Pt 2.45
Pt 0.2500 0.2500 0.2500  6 P 2.45

[2]
CdP2Pt | PBE | optimized geometry

## Properties
energy relative to the elements = 0.2792 eV per atom
final energy = -4.1647 eV per atom
volume = 16.844 A^3/atom
space-group type = C2/m (12)

Cell: 4.4574 6.5289 3.5067 Å, 56.48 90.63 121.01°
Last column: nearest neighbours and their distance in Å.
Atoms (fractional coordinates):
Cd 0.5000 0.0000 0.5000  2 Pt 2.72, 8 P 2.82-2.85
P 0.0000 0.0000 0.0000  2 P 2.72, 4 Cd 2.82-2.85, 4 Pt 2.82-2.85
P 0.0000 0.5000 0.5000  2 P 2.72, 4 Pt 2.82-2.85, 4 Cd 2.82-2.85
Pt 0.5000 0.5000 0.0000  2 Cd 2.72, 8 P 2.82-2.85

Number 1: magnetization 0.0000 μB/atom. Number 2: magnetization 0.0000 μB/atom.